Here is a geometry-optimized Tm6CoIr structure from Alexandria. Energies are from GGA-PBE.

Summary:
As for the formation energy: -292 meV per atom. The magnetic moment is 0.000 μB/f.u. The calculation puts the density of states at the Fermi level at 5.97 states/eV/cell. For the calculated total energy, the calculation gives -45.13 eV for the cell shown.

a = 6.3001 Å, b = 6.3001 Å, c = 6.5632 Å
α = 99.22°, β = 99.22°, γ = 117.08°
Sites, in units of the cell vectors:
Tm 0.0666 0.4051 0.2440
Tm 0.2525 0.2525 0.7621
Tm 0.4051 0.0666 0.2440
Tm 0.5949 0.9334 0.7560
Tm 0.7475 0.7475 0.2379
Tm 0.9334 0.5949 0.7560
Co 0.0000 0.0000 0.0000
Ir 0.5000 0.5000 0.5000

=====

Here is a geometry-optimized Tm8Co2Ir structure from Alexandria. Energies are from GGA-PBE.

Summary:
As for the formation energy: -305 meV per atom. The magnetic moment is 0.000 μB/f.u. As for the polymorph energy (0 for the lowest one): 0.000 eV/atom. The calculation puts the density of states at the Fermi level at 10.65 states/eV/cell. For the calculated total energy, the calculation gives -62.20 eV for the cell shown.

a = 8.7362 Å, b = 8.7362 Å, c = 6.5949 Å
α = 106.69°, β = 106.69°, γ = 32.33°
Sites, in units of the cell vectors:
Tm 0.0356 0.0356 0.2926
Tm 0.2019 0.2019 0.8202
Tm 0.3281 0.3281 0.5269
Tm 0.4046 0.4046 0.0485
Tm 0.5954 0.5954 0.9515
Tm 0.6719 0.6719 0.4731
Tm 0.7981 0.7981 0.1798
Tm 0.9644 0.9644 0.7074
Co 0.1868 0.1868 0.2017
Co 0.8132 0.8132 0.7983
Ir 0.5000 0.5000 0.5000

=====

Here is a geometry-optimized Tm6Co2Ir structure from Alexandria. Energies are from GGA-PBE.

Summary:
As for the formation energy: -307 meV per atom. The magnetic moment is 0.000 μB/f.u. As for the polymorph energy (0 for the lowest one): 0.089 eV/atom. The calculation puts the density of states at the Fermi level at 14.59 states/eV/cell. For the calculated total energy, the calculation gives -105.33 eV for the cell shown.

a = 6.4353 Å, b = 7.0823 Å, c = 11.2762 Å
α = 90.00°, β = 122.77°, γ = 90.00°
Sites, in units of the cell vectors:
Tm 0.0773 0.0517 0.2418
Tm 0.0773 0.4483 0.7418
Tm 0.2333 0.6708 0.0822
Tm 0.2333 0.8292 0.5822
Tm 0.3901 0.1657 0.0677
Tm 0.3901 0.3343 0.5677
Tm 0.6099 0.6657 0.4323
Tm 0.6099 0.8343 0.9323
Tm 0.7667 0.1708 0.4178
Tm 0.7667 0.3292 0.9178
Tm 0.9227 0.5517 0.2582
Tm 0.9227 0.9483 0.7582
Co 0.3154 0.1240 0.7791
Co 0.3154 0.3760 0.2791
Co 0.6846 0.6240 0.7209
Co 0.6846 0.8760 0.2209
Ir 0.5000 0.0000 0.5000
Ir 0.5000 0.5000 0.0000

=====

Here is a geometry-optimized Tm8Co2Ir structure from Alexandria. Energies are from GGA-PBE.

Summary:
As for the formation energy: -241 meV per atom. The magnetic moment is 0.000 μB/f.u. As for the polymorph energy (0 for the lowest one): 0.064 eV/atom. The calculation puts the density of states at the Fermi level at 10.69 states/eV/cell. For the calculated total energy, the calculation gives -61.50 eV for the cell shown.

a = 7.3190 Å, b = 7.3190 Å, c = 5.7942 Å
α = 99.98°, β = 99.98°, γ = 113.00°
Sites, in units of the cell vectors:
Tm 0.0000 0.0000 0.0000
Tm 0.0202 0.2825 0.5956
Tm 0.1446 0.5777 0.1854
Tm 0.2825 0.0202 0.5956
Tm 0.4334 0.6954 0.7836
Tm 0.5777 0.1446 0.1854
Tm 0.6954 0.4334 0.7836
Tm 0.7232 0.7232 0.3701
Co 0.0462 0.6673 0.6836
Co 0.6673 0.0462 0.6836
Ir 0.3646 0.3646 0.0282

=====

Here is a geometry-optimized Tm2CoIr structure from Alexandria. Energies are from GGA-PBE.

Summary:
As for the formation energy: -602 meV per atom. The magnetic moment is 0.482 μB/f.u. As for the polymorph energy (0 for the lowest one): 0.000 eV/atom. The calculation puts the density of states at the Fermi level at 1.78 states/eV/cell. For the calculated total energy, the calculation gives -27.32 eV for the cell shown.

a = 4.7291 Å, b = 4.7291 Å, c = 4.7291 Å
α = 60.00°, β = 60.00°, γ = 60.00°
Sites, in units of the cell vectors:
Tm 0.2500 0.2500 0.2500
Tm 0.7500 0.7500 0.7500
Co 0.0000 0.0000 0.0000
Ir 0.5000 0.5000 0.5000

=====

Here is a geometry-optimized Tm2CoIr structure from Alexandria. Energies are from GGA-PBE.

Summary:
As for the formation energy: -578 meV per atom. The magnetic moment is 0.456 μB/f.u. As for the polymorph energy (0 for the lowest one): 0.024 eV/atom. The calculation puts the density of states at the Fermi level at 2.12 states/eV/cell. For the calculated total energy, the calculation gives -54.44 eV for the cell shown.

a = 4.7630 Å, b = 3.3028 Å, c = 9.4767 Å
α = 90.00°, β = 90.00°, γ = 90.00°
Sites, in units of the cell vectors:
Tm 0.2500 0.0000 0.1200
Tm 0.2500 0.0000 0.6296
Tm 0.7500 0.0000 0.3704
Tm 0.7500 0.0000 0.8800
Co 0.2500 0.5000 0.8759
Co 0.7500 0.5000 0.1241
Ir 0.2500 0.5000 0.3729
Ir 0.7500 0.5000 0.6271

=====

Here is a geometry-optimized Tm4Co2Ir structure from Alexandria. Energies are from GGA-PBE.

Summary:
As for the formation energy: -363 meV per atom. The magnetic moment is 0.004 μB/f.u. The calculation puts the density of states at the Fermi level at 9.30 states/eV/cell. For the calculated total energy, the calculation gives -87.00 eV for the cell shown.

a = 6.6598 Å, b = 6.8135 Å, c = 7.9677 Å
α = 108.36°, β = 107.72°, γ = 105.25°
Sites, in units of the cell vectors:
Tm 0.0000 0.0000 0.0000
Tm 0.0182 0.1786 0.5328
Tm 0.2716 0.5598 0.3832
Tm 0.4306 0.0287 0.8184
Tm 0.4758 0.1415 0.4283
Tm 0.5554 0.7221 0.0932
Tm 0.8461 0.6387 0.5049
Tm 0.9169 0.4512 0.9114
Co 0.2177 0.6136 0.7494
Co 0.5536 0.5946 0.7207
Co 0.7014 0.9578 0.6529
Co 0.7834 0.2188 0.2135
Ir 0.0313 0.8100 0.2704
Ir 0.4505 0.3273 0.1546

=====

Here is a geometry-optimized Tm4CoIr structure from Alexandria. Energies are from GGA-PBE.

Summary:
As for the formation energy: -388 meV per atom. The magnetic moment is 0.000 μB/f.u. As for the polymorph energy (0 for the lowest one): 0.100 eV/atom. The calculation puts the density of states at the Fermi level at 6.02 states/eV/cell. For the calculated total energy, the calculation gives -72.37 eV for the cell shown.

a = 7.4919 Å, b = 7.4919 Å, c = 7.4919 Å
α = 106.70°, β = 106.70°, γ = 115.16°
Sites, in units of the cell vectors:
Tm 0.1964 0.0000 0.1964
Tm 0.2357 0.5313 0.2956
Tm 0.2357 0.9401 0.7044
Tm 0.2813 0.4857 0.7956
Tm 0.6901 0.4857 0.2044
Tm 0.7500 0.0536 0.3036
Tm 0.7500 0.4464 0.6964
Tm 0.8036 0.0000 0.8036
Co 0.2463 0.2463 0.0000
Co 0.9963 0.4963 0.5000
Ir 0.4894 0.9894 0.5000
Ir 0.7394 0.7394 0.0000